A plane-wave DFT calculation with GGA-PBE was carried out for a relaxed LiPrSc2 crystal.

Lattice parameters (Å, degrees): 10.823 10.823 10.823 17.99 17.99 17.99
Atoms (fractional coordinates):
Li: 0.000 0.000 0.000
Pr: 0.500 0.500 0.500
Sc: 0.254 0.254 0.254
Sc: 0.746 0.746 0.746

Calculated values
Offset from the most stable computed form   42.7 meV/atom
Energy of formation from the pure elements   177 meV per atom
V   26.4 A^3/atom
Density   3739 kg/m3